VASP calculation (PBE-GGA) on BaPt2Au after structural relaxation.

a b c (Å): 4.6534 4.6534 6.1066
angles (deg): 67.38 67.38 60.06
Last column: nearest neighbours and their distance in Å.
Positions (direct):
Pt1 0.7406 0.7406 0.7786  3 Pt 2.69, 3 Au 2.76
Pt2 0.0623 0.0623 0.8133  3 Pt 2.69, 3 Au 2.80-2.81
Au1 0.4448 0.4448 0.6667  6 Pt 2.76-2.81
Ba1 0.2523 0.2523 0.2415  1 Pt 3.13, 1 Au 3.14

Calculated values
DFT formation energy ... -0.54 eV per atom
Crystal system ... monoclinic
Symmetry ... No. 8

VASP calculation (PBE-GGA) on BeI3O after structural relaxation.

a b c (Å): 5.1413 5.1413 5.1413
angles (deg): 90.00 90.00 90.00
Last column: nearest neighbours and their distance in Å.
Positions (direct):
O1 0.5000 0.5000 0.5000  12 I 3.64
I1 0.5000 0.0000 0.0000  2 Be 2.57
I2 0.0000 0.5000 0.0000  2 Be 2.57
I3 0.0000 0.0000 0.5000  2 Be 2.57
Be1 0.0000 0.0000 0.0000  6 I 2.57

Calculated values
Crystal system ... cubic
Uncorrected formation energy ... 0.774 eV per atom
Symmetry ... No. 221

VASP calculation (PBE-GGA) on KNb3Ru after structural relaxation.

a b c (Å): 4.5546 4.5546 4.5546
angles (deg): 90.00 90.00 90.00
Last column: nearest neighbours and their distance in Å.
Positions (direct):
Ru1 0.5000 0.5000 0.5000  12 Nb 3.22
K1 0.0000 0.0000 0.0000  6 Nb 2.28
Nb1 0.0000 0.5000 0.0000  2 K 2.28
Nb2 0.5000 0.0000 0.0000  2 K 2.28
Nb3 0.0000 0.0000 0.5000  2 K 2.28

Calculated values
DFT formation energy ... 2.74 eV per atom
Crystal system ... cubic
Symmetry ... No. 221

VASP calculation (PBE-GGA) on Er3Tl2Cd2 after structural relaxation.

a b c (Å): 4.7450 3.3771 11.4206
angles (deg): 90.00 78.01 90.00
Last column: nearest neighbours and their distance in Å.
Positions (direct):
Er1 0.1545 0.0000 0.6910  6 Cd 3.22-3.34, 3 Er 3.38-3.45, 4 Tl 3.38
Er2 0.0000 0.0000 0.0000  4 Er 3.38-3.45, 8 Tl 3.39
Er3 0.8455 0.0000 0.3090  6 Cd 3.22-3.34, 3 Er 3.38-3.45, 4 Tl 3.38
Tl1 0.4226 0.5000 0.1549  1 Cd 3.10, 3 Tl 3.38-3.46, 8 Er 3.38-3.39
Tl2 0.5774 0.5000 0.8451  1 Cd 3.10, 3 Tl 3.38-3.46, 8 Er 3.38-3.39
Cd1 0.7164 0.5000 0.5673  2 Cd 2.81, 1 Tl 3.10
Cd2 0.2836 0.5000 0.4327  2 Cd 2.81, 1 Tl 3.10

Calculated values
DFT formation energy ... -0.26 eV per atom
Crystal system ... orthorhombic
Symmetry ... No. 65

VASP calculation (PBE-GGA) on MgZnP4 after structural relaxation.

a b c (Å): 5.1519 5.1519 5.1519
angles (deg): 60.00 60.00 60.00
Last column: nearest neighbours and their distance in Å.
Positions (direct):
Mg1 0.0000 0.0000 0.0000  12 P 3.02, 4 Zn 3.15
Zn1 0.7500 0.7500 0.7500  12 P 3.02, 4 Mg 3.15
P1 0.3762 0.3762 0.8714  6 P 2.55-2.60
P2 0.3762 0.8714 0.3762  6 P 2.55-2.60
P3 0.3762 0.3762 0.3762  6 P 2.55-2.60
P4 0.8714 0.3762 0.3762  6 P 2.55-2.60

Calculated values
DFT formation energy ... 0.37 eV per atom
Crystal system ... cubic
Symmetry ... No. 216

VASP calculation (PBE-GGA) on LaZnGe2C after structural relaxation.

a b c (Å): 4.4834 5.9777 4.4834
angles (deg): 90.00 90.00 90.00
Last column: nearest neighbours and their distance in Å.
Positions (direct):
Zn1 0.0000 0.0000 0.0000  4 Ge 2.24
Ge1 0.5000 0.0000 0.0000  2 Zn 2.24
Ge2 0.0000 0.0000 0.5000  2 Zn 2.24
La1 0.0000 0.5000 0.0000  2 Zn 2.99, 4 C 3.17
C1 0.5000 0.5000 0.5000  4 La 3.17

Calculated values
DFT formation energy ... 1.18 eV per atom
Crystal system ... tetragonal
Symmetry ... No. 123

VASP calculation (PBE-GGA) on La5SmDy8 after structural relaxation.

a b c (Å): 3.5680 17.0229 8.9761
angles (deg): 62.40 101.46 90.00
Last column: nearest neighbours and their distance in Å.
Positions (direct):
Dy1 0.1455 0.5629 0.2911  3 La 3.38-3.60, 7 Dy 3.54-3.72, 2 Sm 3.67
Dy2 0.5803 0.7766 0.1606  8 Dy 3.57-3.74, 5 La 3.60-3.82
Dy3 0.2167 0.8535 0.4335  3 La 3.19-3.43
Dy4 0.4197 0.2234 0.8395  8 Dy 3.57-3.74, 5 La 3.60-3.82
Dy5 0.9241 0.7218 0.8482  7 Dy 3.54-3.74, 4 La 3.71-3.76, 2 Sm 3.80
Dy6 0.7833 0.1465 0.5667  3 La 3.19-3.43
Dy7 0.0759 0.2782 0.1517  7 Dy 3.54-3.74, 4 La 3.71-3.76, 2 Sm 3.80
Dy8 0.8544 0.4371 0.7087  3 La 3.38-3.60, 7 Dy 3.54-3.72, 2 Sm 3.67
La1 0.0001 0.0000 0.0001  6 Dy 3.43-3.82, 6 La 3.57-3.62
La2 0.7119 0.3568 0.4237  2 Dy 3.19-3.38, 1 Sm 3.35
La3 0.6442 0.0603 0.2885  6 Dy 3.40-3.76, 6 La 3.57-3.75
La4 0.2880 0.6432 0.5761  2 Dy 3.19-3.38, 1 Sm 3.35
La5 0.3559 0.9397 0.7118  6 Dy 3.40-3.76, 6 La 3.57-3.75
Sm1 0.4999 0.5000 0.9999  2 La 3.35, 2 Sm 3.57, 4 Dy 3.67

Calculated values
DFT formation energy ... 0.06 eV per atom
Crystal system ... monoclinic
Symmetry ... No. 12

VASP calculation (PBE-GGA) on SrLaC3 after structural relaxation.

a b c (Å): 4.5459 4.5459 4.5459
angles (deg): 90.00 90.00 90.00
Last column: nearest neighbours and their distance in Å.
Positions (direct):
La1 0.5000 0.5000 0.5000  12 C 3.21
C1 0.0000 0.5000 0.0000  2 Sr 2.27
C2 0.0000 0.0000 0.5000  2 Sr 2.27
C3 0.5000 0.0000 0.0000  2 Sr 2.27
Sr1 0.0000 0.0000 0.0000  6 C 2.27

Calculated values
DFT formation energy ... 2.25 eV per atom
Crystal system ... cubic
Symmetry ... No. 221

VASP calculation (PBE-GGA) on KZn3 after structural relaxation.

a b c (Å): 2.8736 3.8805 7.9122
angles (deg): 90.00 90.00 90.00
Last column: nearest neighbours and their distance in Å.
Positions (direct):
K1 0.0000 0.0000 0.0000  2 K 2.87
Zn1 0.5000 0.5000 0.3247  7 Zn 2.77-2.87
Zn2 0.5000 0.5000 0.6753  7 Zn 2.77-2.87
Zn3 0.0000 0.0000 0.5000  10 Zn 2.78-2.87

Calculated values
DFT formation energy ... 0.15 eV per atom
Crystal system ... orthorhombic
Symmetry ... No. 47

VASP calculation (PBE-GGA) on RhW2Cl after structural relaxation.

a b c (Å): 5.2030 5.2030 5.2030
angles (deg): 137.42 137.42 61.80
Last column: nearest neighbours and their distance in Å.
Positions (direct):
Rh1 0.7500 0.2500 0.5000  4 Cl 2.67, 8 W 2.92
W1 0.0000 0.0000 0.0000  4 W 2.67, 4 Cl 2.92, 4 Rh 2.92
W2 0.5000 0.5000 0.0000  4 W 2.67, 4 Cl 2.92, 4 Rh 2.92
Cl1 0.2500 0.7500 0.5000  4 Rh 2.67, 8 W 2.92

Calculated values
Crystal system ... tetragonal
Uncorrected formation energy ... 1.083 eV per atom
Symmetry ... No. 139

VASP calculation (PBE-GGA) on HgOsBr3 after structural relaxation.

a b c (Å): 5.1399 5.1399 5.1399
angles (deg): 90.00 90.00 90.00
Last column: nearest neighbours and their distance in Å.
Positions (direct):
Os1 0.0000 0.0000 0.0000  6 Br 2.57
Br1 0.0000 0.5000 0.0000  2 Os 2.57
Br2 0.0000 0.0000 0.5000  2 Os 2.57
Br3 0.5000 0.0000 0.0000  2 Os 2.57
Hg1 0.5000 0.5000 0.5000  12 Br 3.63

Calculated values
Crystal system ... cubic
Uncorrected formation energy ... 0.376 eV per atom
Symmetry ... No. 221

VASP calculation (PBE-GGA) on PmIn2Se4 after structural relaxation.

a b c (Å): 6.0604 6.0604 6.6111
angles (deg): 90.00 90.00 90.00
Last column: nearest neighbours and their distance in Å.
Positions (direct):
Se1 0.7322 0.2678 0.7485  2 In 2.70, 1 Pm 2.83
Se2 0.7322 0.7322 0.2515  2 In 2.70, 1 Pm 2.83
Se3 0.2678 0.7322 0.7485  2 In 2.70, 1 Pm 2.83
Se4 0.2678 0.2678 0.2515  2 In 2.70, 1 Pm 2.83
In1 0.0000 0.5000 0.5000  4 Se 2.70
In2 0.5000 0.0000 0.5000  4 Se 2.70
Pm1 0.0000 0.0000 0.0000  4 Se 2.83

Calculated values
Crystal system ... tetragonal
Uncorrected formation energy ... -0.801 eV per atom
Symmetry ... No. 111